DFT (GGA-PBE) results for a relaxed HfCo3H crystal.

Lattice parameters (Å, degrees): 5.3280 3.6881 5.3280 90.00 92.43 90.00
Space group Pm (No. 6)
Unique sites:
Hf (0.0000, 0.0000, 0.0000) x1
Hf (0.4707, 0.0000, 0.5295) x1
Co (0.2343, 0.5000, 0.2669) x1
Co (0.2338, 0.5000, 0.7632) x1
Co (0.4919, 0.0000, 0.0212) x1
Co (0.7375, 0.5000, 0.7637) x1
Co (0.7389, 0.5000, 0.2683) x1
Co (0.9803, 0.0000, 0.5097) x1
H (0.4863, 0.5000, 0.0179) x1
H (0.7390, 0.0000, 0.2684) x1

Computed properties:
ΔE to the lowest computed polymorph = 31.5 meV/atom